No. 1
The following is a PBE-GGA calculation of LaBe2TlI after structural relaxation, from Alexandria.

Geometry as CIF:
```
data_LaBe2TlI
_chemical_formula_sum 'La1 Be2 Tl1 I1'
_symmetry_space_group_name_H-M 'P 1'
_symmetry_Int_Tables_number 1
_cell_length_a 5.5632
_cell_length_b 5.5632
_cell_length_c 6.2035
_cell_angle_alpha 90.00
_cell_angle_beta 90.00
_cell_angle_gamma 90.00
loop_
_symmetry_equiv_pos_as_xyz
'x,y,z'
loop_
_atom_site_label
_atom_site_type_symbol
_atom_site_fract_x
_atom_site_fract_y
_atom_site_fract_z
_atom_site_occupancy
La1 La 0.0000 0.0000 0.0000 1
Be1 Be 0.0000 0.5000 0.0000 1
Be2 Be 0.5000 0.0000 0.0000 1
Tl1 Tl 0.5000 0.5000 0.5000 1
I1 I 0.0000 0.0000 0.5000 1
```

E_form (uncorrected)   4.39 eV/f.u.
DOS at the Fermi energy   4.54 states/eV/cell

---

No. 2
The following is a PBE-GGA calculation of HgPbBr2 after structural relaxation, from Alexandria.

Geometry as CIF:
```
data_HgPbBr2
_chemical_formula_sum 'Hg1 Pb1 Br2'
_symmetry_space_group_name_H-M 'P 1'
_symmetry_Int_Tables_number 1
_cell_length_a 5.2286
_cell_length_b 5.2286
_cell_length_c 4.3424
_cell_angle_alpha 90.00
_cell_angle_beta 90.00
_cell_angle_gamma 90.72
loop_
_symmetry_equiv_pos_as_xyz
'x,y,z'
loop_
_atom_site_label
_atom_site_type_symbol
_atom_site_fract_x
_atom_site_fract_y
_atom_site_fract_z
_atom_site_occupancy
Hg1 Hg 0.0000 0.0000 0.0000 1
Pb1 Pb 0.5000 0.5000 0.0000 1
Br1 Br 0.0000 0.5000 0.5000 1
Br2 Br 0.5000 0.0000 0.5000 1
```

Excess energy over the best structure of this formula in the dataset   279 meV per atom
E_form (uncorrected)   -1.50 eV/f.u.
DOS at the Fermi energy   0.58 states/eV/cell

---

No. 3
The following is a PBE-GGA calculation of Tb12Y5Tm2 after structural relaxation, from Alexandria.

Geometry as CIF:
```
data_Tb12Y5Tm2
_chemical_formula_sum 'Tb12 Y5 Tm2'
_symmetry_space_group_name_H-M 'P 1'
_symmetry_Int_Tables_number 1
_cell_length_a 6.7602
_cell_length_b 8.8379
_cell_length_c 11.1110
_cell_angle_alpha 107.69
_cell_angle_beta 92.00
_cell_angle_gamma 101.80
loop_
_symmetry_equiv_pos_as_xyz
'x,y,z'
loop_
_atom_site_label
_atom_site_type_symbol
_atom_site_fract_x
_atom_site_fract_y
_atom_site_fract_z
_atom_site_occupancy
Tb1 Tb 0.0147 0.1273 0.4213 1
Tb2 Tb 0.0448 0.9424 0.1091 1
Tb3 Tb 0.1417 0.7280 0.2782 1
Tb4 Tb 0.3687 0.3496 0.7070 1
Tb5 Tb 0.3929 0.2547 0.2489 1
Tb6 Tb 0.4724 0.1223 0.9084 1
Tb7 Tb 0.5276 0.8777 0.0916 1
Tb8 Tb 0.6071 0.7453 0.7511 1
Tb9 Tb 0.6313 0.6504 0.2930 1
Tb10 Tb 0.8583 0.2720 0.7218 1
Tb11 Tb 0.9552 0.0576 0.8909 1
Tb12 Tb 0.9853 0.8727 0.5787 1
Y1 Y 0.1098 0.6848 0.8032 1
Y2 Y 0.2448 0.4605 0.0156 1
Y3 Y 0.5000 0.0000 0.5000 1
Y4 Y 0.7552 0.5395 0.9844 1
Y5 Y 0.8902 0.3152 0.1968 1
Tm1 Tm 0.2618 0.5493 0.4910 1
Tm2 Tm 0.7382 0.4507 0.5090 1
```

Formation enthalpy at 0 K   111 meV/atom
Excess energy over the best structure of this formula in the dataset   5 meV per atom
DOS at the Fermi energy   30.48 states/eV/cell

---

No. 4
The following is a PBE-GGA calculation of YZr2Tc9 after structural relaxation, from Alexandria.

Geometry as CIF:
```
data_YZr2Tc9
_chemical_formula_sum 'Y1 Zr2 Tc9'
_symmetry_space_group_name_H-M 'P 1'
_symmetry_Int_Tables_number 1
_cell_length_a 9.2010
_cell_length_b 9.2010
_cell_length_c 9.2010
_cell_angle_alpha 33.25
_cell_angle_beta 33.25
_cell_angle_gamma 33.25
loop_
_symmetry_equiv_pos_as_xyz
'x,y,z'
loop_
_atom_site_label
_atom_site_type_symbol
_atom_site_fract_x
_atom_site_fract_y
_atom_site_fract_z
_atom_site_occupancy
Y1 Y 0.0000 0.0000 0.0000 1
Zr1 Zr 0.1429 0.1429 0.1429 1
Zr2 Zr 0.8571 0.8571 0.8571 1
Tc1 Tc 0.0760 0.5899 0.5899 1
Tc2 Tc 0.3360 0.3360 0.3360 1
Tc3 Tc 0.4101 0.4101 0.9240 1
Tc4 Tc 0.4101 0.9240 0.4101 1
Tc5 Tc 0.5000 0.5000 0.5000 1
Tc6 Tc 0.5899 0.0760 0.5899 1
Tc7 Tc 0.5899 0.5899 0.0760 1
Tc8 Tc 0.6640 0.6640 0.6640 1
Tc9 Tc 0.9240 0.4101 0.4101 1
```

Formation enthalpy at 0 K   -136 meV/atom
DOS at the Fermi energy   15.13 states/eV/cell